*one*
{
  "formula": "Th2Si3Os",
  "functional": "GGA-PBE",
  "state": "optimized geometry",
  "lattice": [[-0.023, 1.974, 7.523], [-5.074, -0.533, 5.870], [3.727, -3.312, -5.969]],
  "species": ["Th", "Os", "Th", "Si", "Si", "Si"],
  "frac_coords": [[0.997, 0.997, 0.000], [0.834, 0.334, 0.500], [0.251, 0.751, 0.500], [0.669, 0.169, 0.500], [0.582, 0.582, 0.000], [0.417, 0.417, 0.000]],
  "magnetic_moment_mub_per_fu": 0.00
}

=====

*two*
{
  "formula": "Th2Si3Os",
  "functional": "GGA-PBE",
  "state": "optimized geometry",
  "lattice": [[5.902, 0.140, 0.000], [-0.089, 5.903, 0.000], [-2.907, -3.022, 7.126]],
  "species": ["Th", "Si", "Os", "Si", "Th", "Si", "Si", "Si", "Th", "Th", "Os", "Si"],
  "frac_coords": [[0.750, 0.250, 0.500], [0.167, 0.167, 0.334], [0.334, 0.334, 0.668], [0.837, 0.330, 0.167], [0.257, 0.257, 0.000], [0.670, 0.163, 0.833], [0.330, 0.837, 0.167], [0.163, 0.670, 0.833], [0.743, 0.743, 0.000], [0.250, 0.750, 0.500], [0.666, 0.666, 0.332], [0.833, 0.833, 0.666]],
  "magnetic_moment_mub_per_fu": 0.00
}

=====

Which structure is most stable, and how do the rest compare? From most to least stable: *two*, *one*.

=====

*one*
{
  "formula": "TiSiOs3",
  "functional": "GGA-PBE",
  "state": "optimized geometry",
  "lattice": [[-3.698, 1.625, -1.618], [-2.060, -3.703, 0.989], [-1.008, 1.607, 3.916]],
  "species": ["Ti", "Os", "Os", "Si", "Os"],
  "frac_coords": [[0.500, 0.500, 0.500], [0.000, 0.000, 0.500], [0.500, 0.000, 0.000], [0.000, 0.000, 0.000], [0.000, 0.500, 0.000]],
  "magnetic_moment_mub_per_fu": 0.00
}

=====

*two*
{
  "formula": "TiSiOs3",
  "functional": "GGA-PBE",
  "state": "optimized geometry",
  "lattice": [[-0.365, 4.445, -0.838], [-0.636, -0.882, -4.405], [-4.478, -0.237, 0.694]],
  "species": ["Si", "Os", "Os", "Os", "Ti"],
  "frac_coords": [[0.500, 0.500, 0.500], [0.000, 0.000, 0.500], [0.500, 0.000, 0.000], [0.000, 0.500, 0.000], [0.000, 0.000, 0.000]],
  "magnetic_moment_mub_per_fu": 0.37
}

=====

Which structure is most stable, and how do the rest compare? From most to least stable: *one*, *two*.

=====

*one*
{
  "formula": "TiSi3Os",
  "functional": "GGA-PBE",
  "state": "optimized geometry",
  "lattice": [[4.627, 0.000, 0.000], [0.000, 4.627, 0.000], [0.000, 0.000, 4.627]],
  "species": ["Ti", "Si", "Os", "Si", "Si"],
  "frac_coords": [[0.500, 0.500, 0.500], [0.000, 0.000, 0.500], [0.000, 0.000, 0.000], [0.500, 0.000, 0.000], [0.000, 0.500, 0.000]],
  "magnetic_moment_mub_per_fu": 2.02
}

=====

*two*
{
  "formula": "TiSi3Os",
  "functional": "GGA-PBE",
  "state": "optimized geometry",
  "lattice": [[4.570, 0.000, 0.000], [0.000, 4.570, 0.000], [0.000, 0.000, 4.570]],
  "species": ["Si", "Ti", "Si", "Si", "Os"],
  "frac_coords": [[0.500, 0.000, 0.000], [0.000, 0.000, 0.000], [0.000, 0.500, 0.000], [0.000, 0.000, 0.500], [0.500, 0.500, 0.500]],
  "magnetic_moment_mub_per_fu": 1.65
}

=====

Which structure is most stable, and how do the rest compare? From most to least stable: *one*, *two*.

=====

*one*
{
  "formula": "TlSiOs2",
  "functional": "GGA-PBE",
  "state": "optimized geometry",
  "lattice": [[-2.526, -0.135, -1.449], [0.158, -1.224, 2.641], [-2.530, 7.647, 3.695]],
  "species": ["Os", "Tl", "Os", "Si"],
  "frac_coords": [[0.000, 0.000, 0.043], [0.500, 0.500, 0.750], [0.000, 0.000, 0.457], [0.500, 0.500, 0.250]],
  "magnetic_moment_mub_per_fu": 0.00
}

=====

*two*
{
  "formula": "TlSiOs2",
  "functional": "GGA-PBE",
  "state": "optimized geometry",
  "lattice": [[5.349, 0.000, 0.003], [2.242, 4.856, -0.003], [-3.018, -3.643, 2.496]],
  "species": ["Tl", "Si", "Os", "Os"],
  "frac_coords": [[0.750, 0.250, 0.500], [0.250, 0.750, 0.500], [0.034, 0.034, 0.000], [0.466, 0.466, 0.000]],
  "magnetic_moment_mub_per_fu": 0.00
}

=====

*three*
{
  "formula": "TlSiOs2",
  "functional": "GGA-PBE",
  "state": "optimized geometry",
  "lattice": [[-1.283, -2.911, -0.282], [0.836, -0.660, 3.011], [-5.748, 2.330, 2.107]],
  "species": ["Os", "Os", "Tl", "Si"],
  "frac_coords": [[0.500, 0.500, 0.292], [0.000, 0.000, 0.026], [0.500, 0.500, 0.753], [0.000, 0.000, 0.428]],
  "magnetic_moment_mub_per_fu": 0.50
}

=====

Which structure is most stable, and how do the rest compare? From most to least stable: *one*, *two*, *three*.

=====

*one*
{
  "formula": "TlSiOs2",
  "functional": "GGA-PBE",
  "state": "optimized geometry",
  "lattice": [[2.841, -0.011, 0.000], [-1.391, 2.477, 0.000], [0.000, 0.000, 10.342]],
  "species": ["Tl", "Os", "Os", "Si"],
  "frac_coords": [[0.500, 0.500, 0.768], [0.500, 0.500, 0.249], [0.000, 0.000, 0.037], [0.000, 0.000, 0.447]],
  "magnetic_moment_mub_per_fu": 0.39
}

=====

*two*
{
  "formula": "TlSiOs2",
  "functional": "GGA-PBE",
  "state": "optimized geometry",
  "lattice": [[4.491, 0.000, 0.000], [0.000, 2.971, -0.053], [0.000, 0.964, 5.044]],
  "species": ["Os", "Tl", "Si", "Os"],
  "frac_coords": [[0.500, 0.401, 0.236], [0.500, 0.831, 0.729], [0.000, 0.324, 0.455], [0.000, 0.944, 0.080]],
  "magnetic_moment_mub_per_fu": 0.00
}

=====

*three*
{
  "formula": "TlSiOs2",
  "functional": "GGA-PBE",
  "state": "optimized geometry",
  "lattice": [[-1.976, 3.214, -2.515], [-2.107, 0.693, -3.954], [-5.818, -0.729, 1.807]],
  "species": ["Os", "Tl", "Si", "Os"],
  "frac_coords": [[0.964, 0.964, 0.060], [0.718, 0.718, 0.767], [0.549, 0.549, 0.334], [0.269, 0.269, 0.338]],
  "magnetic_moment_mub_per_fu": 0.00
}

=====

*four*
{
  "formula": "TlSiOs2",
  "functional": "GGA-PBE",
  "state": "optimized geometry",
  "lattice": [[2.993, 0.000, 0.000], [0.000, 2.993, 0.000], [0.000, 0.000, 7.057]],
  "species": ["Tl", "Os", "Os", "Si"],
  "frac_coords": [[0.500, 0.500, 0.750], [0.000, 0.000, 0.445], [0.000, 0.000, 0.055], [0.500, 0.500, 0.250]],
  "magnetic_moment_mub_per_fu": 0.00
}

=====

Which structure is most stable, and how do the rest compare? From most to least stable: *four*, *three*, *two*, *one*.

=====

*one*
{
  "formula": "TlSiOs2",
  "functional": "GGA-PBE",
  "state": "optimized geometry",
  "lattice": [[-4.142, -1.920, -2.085], [0.718, -1.631, -4.692], [2.381, -0.722, 4.359]],
  "species": ["Tl", "Si", "Os", "Os"],
  "frac_coords": [[0.750, 0.250, 0.500], [0.500, 0.500, 0.000], [0.250, 0.750, 0.500], [0.000, 0.000, 0.000]],
  "magnetic_moment_mub_per_fu": 0.00
}

=====

*two*
{
  "formula": "TlSiOs2",
  "functional": "GGA-PBE",
  "state": "optimized geometry",
  "lattice": [[-3.525, 1.591, -5.003], [0.889, -0.092, -6.260], [-0.039, -2.782, 5.678]],
  "species": ["Os", "Tl", "Si", "Os"],
  "frac_coords": [[0.314, 0.814, 0.500], [0.701, 0.201, 0.500], [0.469, 0.469, 0.000], [0.015, 0.015, 0.000]],
  "magnetic_moment_mub_per_fu": 0.00
}

=====

*three*
{
  "formula": "TlSiOs2",
  "functional": "GGA-PBE",
  "state": "optimized geometry",
  "lattice": [[8.911, 0.000, 0.000], [8.417, 2.923, 0.000], [8.417, 1.420, 2.555]],
  "species": ["Si", "Os", "Tl", "Os"],
  "frac_coords": [[0.512, 0.512, 0.512], [0.246, 0.246, 0.246], [0.751, 0.751, 0.751], [0.992, 0.992, 0.992]],
  "magnetic_moment_mub_per_fu": 0.00
}

=====

Which structure is most stable, and how do the rest compare? From most to least stable: *three*, *two*, *one*.

=====

*one*
{
  "formula": "TlSiOs2",
  "functional": "GGA-PBE",
  "state": "optimized geometry",
  "lattice": [[4.445, 0.000, 0.000], [0.000, 4.445, 0.000], [0.000, 0.000, 3.180]],
  "species": ["Tl", "Os", "Si", "Os"],
  "frac_coords": [[0.000, 0.500, 0.500], [0.000, 0.000, 0.000], [0.500, 0.000, 0.500], [0.500, 0.500, 0.000]],
  "magnetic_moment_mub_per_fu": 0.00
}

=====

*two*
{
  "formula": "TlSiOs2",
  "functional": "GGA-PBE",
  "state": "optimized geometry",
  "lattice": [[3.001, 0.000, 0.000], [0.000, 5.110, 0.000], [0.000, 0.000, 4.323]],
  "species": ["Os", "Os", "Tl", "Si"],
  "frac_coords": [[0.000, 0.000, 0.000], [0.500, 0.500, 0.000], [0.000, 0.500, 0.500], [0.500, 0.000, 0.500]],
  "magnetic_moment_mub_per_fu": 0.00
}

=====

*three*
{
  "formula": "TlSiOs2",
  "functional": "GGA-PBE",
  "state": "optimized geometry",
  "lattice": [[-0.483, -1.441, 3.557], [2.616, -1.415, -0.218], [4.054, 3.736, 2.063]],
  "species": ["Tl", "Os", "Os", "Si"],
  "frac_coords": [[0.500, 0.750, 0.750], [0.000, 0.396, 0.454], [0.000, 0.104, 0.046], [0.500, 0.250, 0.250]],
  "magnetic_moment_mub_per_fu": 0.00
}

=====

Which structure is most stable, and how do the rest compare? From most to least stable: *three*, *one*, *two*.

=====

*one*
{
  "formula": "TlSiOs2",
  "functional": "GGA-PBE",
  "state": "optimized geometry",
  "lattice": [[4.321, 0.000, 0.000], [0.000, 4.321, 0.000], [2.161, 2.161, 8.540]],
  "species": ["Os", "Os", "Si", "Os", "Tl", "Si", "Tl", "Os"],
  "frac_coords": [[0.510, 0.125, 0.250], [0.375, 0.490, 0.750], [0.250, 0.750, 0.500], [0.875, 0.760, 0.750], [0.000, 0.000, 0.000], [0.500, 0.500, 0.000], [0.750, 0.250, 0.500], [0.240, 0.625, 0.250]],
  "magnetic_moment_mub_per_fu": 0.00
}

=====

*two*
{
  "formula": "TlSiOs2",
  "functional": "GGA-PBE",
  "state": "optimized geometry",
  "lattice": [[-3.786, -0.556, 3.588], [-0.246, -3.810, -3.598], [0.558, -2.557, 1.432]],
  "species": ["Os", "Os", "Si", "Tl"],
  "frac_coords": [[0.500, 0.500, 0.000], [0.000, 0.000, 0.000], [0.500, 0.000, 0.500], [0.000, 0.500, 0.500]],
  "magnetic_moment_mub_per_fu": 0.00
}

=====

Which structure is most stable, and how do the rest compare? From most to least stable: *one*, *two*.

=====

*one*
{
  "formula": "TlSiOs2",
  "functional": "GGA-PBE",
  "state": "optimized geometry",
  "lattice": [[0.000, 3.150, 3.150], [3.150, 0.000, 3.150], [3.150, 3.150, 0.000]],
  "species": ["Os", "Os", "Si", "Tl"],
  "frac_coords": [[0.250, 0.250, 0.250], [0.750, 0.750, 0.750], [0.000, 0.000, 0.000], [0.500, 0.500, 0.500]],
  "magnetic_moment_mub_per_fu": 0.00
}

=====

*two*
{
  "formula": "TlSiOs2",
  "functional": "GGA-PBE",
  "state": "optimized geometry",
  "lattice": [[2.867, 0.000, 0.000], [0.000, 2.867, 0.000], [0.000, 0.000, 8.451]],
  "species": ["Tl", "Si", "Os", "Os"],
  "frac_coords": [[0.500, 0.500, 0.763], [0.000, 0.000, 0.445], [0.500, 0.500, 0.246], [0.000, 0.000, 0.046]],
  "magnetic_moment_mub_per_fu": 0.00
}

=====

Which structure is most stable, and how do the rest compare? From most to least stable: *two*, *one*.

=====

*one*
{
  "formula": "Tl2SiOs",
  "functional": "GGA-PBE",
  "state": "optimized geometry",
  "lattice": [[-4.420, 0.293, -5.354], [-6.557, -2.166, -0.779], [5.073, 3.712, 2.962]],
  "species": ["Tl", "Os", "Si", "Tl"],
  "frac_coords": [[0.999, 0.999, 0.000], [0.473, 0.473, 0.000], [0.329, 0.829, 0.500], [0.699, 0.199, 0.500]],
  "magnetic_moment_mub_per_fu": 0.00
}

=====

*two*
{
  "formula": "Tl2SiOs",
  "functional": "GGA-PBE",
  "state": "optimized geometry",
  "lattice": [[10.434, 0.002, 0.001], [9.985, 3.027, 0.001], [9.985, 1.481, 2.639]],
  "species": ["Os", "Tl", "Tl", "Si"],
  "frac_coords": [[0.750, 0.750, 0.750], [0.007, 0.007, 0.007], [0.493, 0.493, 0.493], [0.250, 0.250, 0.250]],
  "magnetic_moment_mub_per_fu": 0.34
}

=====

Which structure is most stable, and how do the rest compare? From most to least stable: *one*, *two*.

=====

*one*
{
  "formula": "Tl2SiOs",
  "functional": "GGA-PBE",
  "state": "optimized geometry",
  "lattice": [[3.152, 0.000, 0.000], [0.000, 3.152, 0.000], [0.000, 0.000, 8.878]],
  "species": ["Tl", "Tl", "Os", "Si"],
  "frac_coords": [[0.000, 0.000, 0.945], [0.500, 0.500, 0.309], [0.000, 0.000, 0.568], [0.500, 0.500, 0.678]],
  "magnetic_moment_mub_per_fu": 0.00
}

=====

*two*
{
  "formula": "Tl2SiOs",
  "functional": "GGA-PBE",
  "state": "optimized geometry",
  "lattice": [[9.552, -0.121, -0.071], [9.032, 3.110, -0.071], [9.032, 1.452, 2.751]],
  "species": ["Os", "Tl", "Si", "Tl"],
  "frac_coords": [[0.514, 0.514, 0.514], [0.765, 0.765, 0.765], [0.232, 0.232, 0.232], [0.989, 0.989, 0.989]],
  "magnetic_moment_mub_per_fu": 0.00
}

=====

Which structure is most stable, and how do the rest compare? From most to least stable: *one*, *two*.

=====

*one*
{
  "formula": "Tl2SiOs",
  "functional": "GGA-PBE",
  "state": "optimized geometry",
  "lattice": [[5.598, -0.055, 0.079], [-2.643, 4.935, 0.079], [0.903, 1.491, 2.998]],
  "species": ["Os", "Si", "Tl", "Tl"],
  "frac_coords": [[0.500, 0.000, 0.500], [0.000, 0.500, 0.500], [0.500, 0.500, 0.000], [0.000, 0.000, 0.000]],
  "magnetic_moment_mub_per_fu": 0.00
}

=====

*two*
{
  "formula": "Tl2SiOs",
  "functional": "GGA-PBE",
  "state": "optimized geometry",
  "lattice": [[-0.300, 2.122, -2.199], [-2.555, -1.184, 1.224], [-0.007, 7.126, 6.876]],
  "species": ["Tl", "Si", "Tl", "Os"],
  "frac_coords": [[0.000, 0.000, 0.486], [0.500, 0.500, 0.750], [0.000, 0.000, 0.014], [0.500, 0.500, 0.250]],
  "magnetic_moment_mub_per_fu": 0.00
}

=====

*three*
{
  "formula": "Tl2SiOs",
  "functional": "GGA-PBE",
  "state": "optimized geometry",
  "lattice": [[-4.575, 2.923, 0.023], [-5.289, 0.034, -1.227], [-4.442, -0.766, 4.307]],
  "species": ["Tl", "Si", "Tl", "Os"],
  "frac_coords": [[0.951, 0.951, 0.041], [0.144, 0.144, 0.240], [0.814, 0.814, 0.670], [0.591, 0.591, 0.550]],
  "magnetic_moment_mub_per_fu": 0.00
}

=====

Which structure is most stable, and how do the rest compare? From most to least stable: *three*, *two*, *one*.